Record 1
First-principles (PBE) data for a geometry-optimized HoPb2F8 structure, as listed in Alexandria via LeMat-Bulk.

The uncorrected formation energy is -274 kJ per mole of atoms. The density of states at the Fermi level is 14.53 states/eV per cell. As for the theoretical density: 7878 kg/m³.

The structure belongs to space group C2/m (No. 12); the cell edges are 14.800, 3.934 and 5.569 Å and the angles 90.00°, 108.05° and 90.00°. Symmetry generates all atoms from Ho at (0.000, 0.000, 0.000), Pb at (0.172, 0.500, 0.673), F at (0.023, 0.500, 0.807), F at (0.093, 0.000, 0.409), F at (0.148, 0.000, 0.947) and F at (0.223, 0.500, 0.305).


Record 2
First-principles (PBE) data for a geometry-optimized TbTlAu2 structure, as listed in Alexandria via LeMat-Bulk.

As for the formation energy: -0.437 eV per atom. The density of states at the Fermi level is 8.95 states/eV per cell. As for the theoretical density: 12068 kg/m³.

The structure belongs to space group R-3m (No. 166, hexagonal axes); the cell edges are 4.1813, 4.1813 and 20.6458 Å and the angles 90.00°, 90.00° and 120.00°. Symmetry generates all atoms from Tb at (0.0000, 0.0000, 0.0000), Tl at (0.0000, 0.0000, 0.5000) and Au at (0.0000, 0.0000, 0.2503).


Repeat the second record exactly.
First-principles (PBE) data for a geometry-optimized TbTlAu2 structure, as listed in Alexandria via LeMat-Bulk.

As for the formation energy: -0.437 eV per atom. The density of states at the Fermi level is 8.95 states/eV per cell. As for the theoretical density: 12068 kg/m³.

The structure belongs to space group R-3m (No. 166, hexagonal axes); the cell edges are 4.1813, 4.1813 and 20.6458 Å and the angles 90.00°, 90.00° and 120.00°. Symmetry generates all atoms from Tb at (0.0000, 0.0000, 0.0000), Tl at (0.0000, 0.0000, 0.5000) and Au at (0.0000, 0.0000, 0.2503).